# 1
Ti5IrPd2: relaxed, PBE.

a b c (Å): 6.4089 6.4089 7.9232
angles (deg): 113.86 113.86 90.00
Last column: nearest neighbours and their distance in Å.
Positions (direct):
Pd1 0.8584 0.6416 0.0000  4 Ti 2.47-2.76, 1 Pd 2.57
Pd2 0.1416 0.3584 0.0000  4 Ti 2.47-2.76, 1 Pd 2.57
Pd3 0.3584 0.8584 0.0000  4 Ti 2.47-2.76, 1 Pd 2.57
Pd4 0.6416 0.1416 0.0000  4 Ti 2.47-2.76, 1 Pd 2.57
Ti1 0.3222 0.8222 0.3227  2 Ir 2.67, 3 Pd 2.76-2.86, 2 Ti 2.81-2.92
Ti2 0.1778 0.9995 0.6773  2 Ir 2.67, 3 Pd 2.76-2.86, 2 Ti 2.81-2.92
Ti3 0.0005 0.5005 0.3227  2 Ir 2.67, 3 Pd 2.76-2.86, 2 Ti 2.81-2.92
Ti4 0.5005 0.3222 0.3227  2 Ir 2.67, 3 Pd 2.76-2.86, 2 Ti 2.81-2.92
Ti5 0.8222 0.0005 0.3227  2 Ir 2.67, 3 Pd 2.76-2.86, 2 Ti 2.81-2.92
Ti6 0.0000 0.0000 0.0000  4 Pd 2.47
Ti7 0.9995 0.4995 0.6773  2 Ir 2.67, 3 Pd 2.76-2.86, 2 Ti 2.81-2.92
Ti8 0.6778 0.1778 0.6773  2 Ir 2.67, 3 Pd 2.76-2.86, 2 Ti 2.81-2.92
Ti9 0.5000 0.5000 0.0000  4 Pd 2.47
Ti10 0.4995 0.6778 0.6773  2 Ir 2.67, 3 Pd 2.76-2.86, 2 Ti 2.81-2.92
Ir1 0.7500 0.7500 0.5000  8 Ti 2.67
Ir2 0.2500 0.2500 0.5000  8 Ti 2.67

Output
Raw total energy = -124.19 eV for the cell shown
SG = I4/mcm, No. 140


# 2
CaY2Cd4: relaxed, PBE.

a b c (Å): 5.1629 5.1629 8.4654
angles (deg): 107.75 107.75 90.00
Last column: nearest neighbours and their distance in Å.
Positions (direct):
Cd1 0.1226 0.6226 0.2453  2 Ca 3.19, 4 Y 3.21-3.25
Cd2 0.6226 0.1226 0.2453  2 Ca 3.19, 4 Y 3.21-3.25
Cd3 0.8774 0.3774 0.7547  2 Ca 3.19, 4 Y 3.21-3.25
Cd4 0.3774 0.8774 0.7547  2 Ca 3.19, 4 Y 3.21-3.25
Ca1 0.0000 0.0000 0.0000  8 Cd 3.19
Y1 0.7479 0.7479 0.4959  8 Cd 3.21-3.25
Y2 0.2521 0.2521 0.5041  8 Cd 3.21-3.25

Output
Raw total energy = -19.62 eV for the cell shown
SG = I4/mmm, No. 139


# 3
SrCd2P: relaxed, PBE.

a b c (Å): 4.4438 5.1773 5.1618
angles (deg): 68.67 90.00 90.00
Last column: nearest neighbours and their distance in Å.
Positions (direct):
Cd1 0.0000 0.1839 0.6832  2 P 2.72
Cd2 0.0000 0.8161 0.3168  2 P 2.72
P1 0.5000 0.0000 0.5000  4 Cd 2.72, 2 Sr 2.92
Sr1 0.5000 0.5000 0.0000  2 P 2.92

Output
Raw total energy = -10.29 eV for the cell shown
SG = P2/m, No. 10


# 4
CrHRh: relaxed, PBE.

a b c (Å): 5.4653 5.1536 4.7194
angles (deg): 90.00 90.00 122.90
Last column: nearest neighbours and their distance in Å.
Positions (direct):
H1 0.2792 0.5191 0.4831  3 Cr 1.82-1.83, 2 Rh 1.98-2.00
H2 0.7208 0.4809 0.5169  3 Cr 1.82-1.83, 2 Rh 1.98-2.00
H3 0.2792 0.0191 0.0169  3 Cr 1.82-1.83, 2 Rh 1.98-2.00
H4 0.7208 0.9809 0.9831  3 Cr 1.82-1.83, 2 Rh 1.98-2.00
Cr1 0.3692 0.2516 0.3367  3 H 1.82-1.83
Cr2 0.3692 0.7516 0.1633  3 H 1.82-1.83
Cr3 0.6308 0.7484 0.6633  3 H 1.82-1.83
Cr4 0.6308 0.2484 0.8367  3 H 1.82-1.83
Rh1 0.8577 0.7351 0.1630  3 H 1.98-2.06
Rh2 0.8577 0.2351 0.3370  3 H 1.98-2.06
Rh3 0.1423 0.7649 0.6630  3 H 1.98-2.06
Rh4 0.1423 0.2649 0.8370  3 H 1.98-2.06

Output
Distance to the lowest polymorph of the same formula = 0.0 meV/atom
SG = P2_1/c, No. 14


# 5
NaSiOsO6: relaxed, PBE.

a b c (Å): 4.9591 4.9590 5.2484
angles (deg): 90.00 90.00 59.99
Last column: nearest neighbours and their distance in Å.
Positions (direct):
Na1 0.0000 0.0000 0.0000  6 O 2.49
Si1 0.3333 0.3333 0.5000  6 O 1.80
O1 0.6071 0.3773 0.6959  1 Si 1.80, 1 Os 1.90
O2 0.6071 0.0156 0.3041  1 Si 1.80, 1 Os 1.90
O3 0.3772 0.6071 0.3040  1 Si 1.80, 1 Os 1.90
O4 0.3772 0.0157 0.6959  1 Si 1.80, 1 Os 1.90
O5 0.0156 0.3772 0.3040  1 Si 1.80, 1 Os 1.90
O6 0.0156 0.6071 0.6959  1 Si 1.80, 1 Os 1.90
Os1 0.6666 0.6667 0.5000  6 O 1.90

Output
Raw total energy = -62.13 eV for the cell shown
SG = P312, No. 149


# 6
Tb3PdO: relaxed, PBE.

a b c (Å): 3.6356 7.1004 8.6226
angles (deg): 101.04 90.00 90.00
Last column: nearest neighbours and their distance in Å.
Positions (direct):
Tb1 0.2500 0.7582 0.0525  1 O 2.70, 2 Pd 2.82
Tb2 0.7500 0.0733 0.3479  3 O 2.37-2.45
Tb3 0.2500 0.9267 0.6521  3 O 2.37-2.45
Tb4 0.2500 0.3943 0.6450  2 O 2.49
Tb5 0.7500 0.2418 0.9475  1 O 2.70, 2 Pd 2.82
Tb6 0.7500 0.6057 0.3550  2 O 2.49
O1 0.2500 0.8492 0.3718  5 Tb 2.37-2.49
O2 0.7500 0.1508 0.6282  5 Tb 2.37-2.49
Pd1 0.2500 0.3130 0.2025  6 Tb 2.82-2.93
Pd2 0.7500 0.6870 0.7975  6 Tb 2.82-2.93

Output
Raw total energy = -62.64 eV for the cell shown
SG = P2_1/m, No. 11